1.
Density functional theory data (GGA-PBE) for an optimized crystal structure of MnAlTc3.

Geometry as CIF:
```
data_MnAlTc3
_space_group_name_H-M_alt 'P m -3 m'
_space_group_IT_number 221
_space_group_name_Hall '-P 4 2 3'
_cell_length_a 4.396
_cell_length_b 4.396
_cell_length_c 4.396
_cell_angle_alpha 90.00
_cell_angle_beta 90.00
_cell_angle_gamma 90.00
loop_
_atom_site_label
_atom_site_fract_x
_atom_site_fract_y
_atom_site_fract_z
_atom_site_occupancy
Mn1 0.000 0.000 0.000 1
Al1 0.500 0.500 0.500 1
Tc1 0.000 0.000 0.500 1
```

Calculated formation energy ... 1028 meV/atom
Magnetic moment ... 0.00 μB/f.u.
Relative energy among the computed polymorphs ... 0 meV per atom

2.
Density functional theory data (GGA-PBE) for an optimized crystal structure of Ce8Ir3RhBr4.

Geometry as CIF:
```
data_Ce8Ir3RhBr4
_space_group_name_H-M_alt 'R -3 m'
_space_group_IT_number 166
_space_group_name_Hall '-R 3 2"'
_cell_length_a 8.2102
_cell_length_b 8.2102
_cell_length_c 22.9559
_cell_angle_alpha 90.00
_cell_angle_beta 90.00
_cell_angle_gamma 120.00
loop_
_atom_site_label
_atom_site_fract_x
_atom_site_fract_y
_atom_site_fract_z
_atom_site_occupancy
Ce1 0.0000 0.0000 0.2325 1
Ce2 0.0012 0.5006 0.7672 1
Ir1 0.0000 0.5000 0.5000 1
Rh1 0.0000 0.0000 0.5000 1
Br1 0.0000 0.0000 0.0000 1
Br2 0.0000 0.5000 0.0000 1
```

Magnetic moment ... 7.53 μB/f.u.
ΔE_f (raw) ... -1.037 eV/atom

3.
Density functional theory data (GGA-PBE) for an optimized crystal structure of TlCdHg2I.

Geometry as CIF:
```
data_TlCdHg2I
_space_group_name_H-M_alt 'P 4/m m m'
_space_group_IT_number 123
_space_group_name_Hall '-P 4 2'
_cell_length_a 5.570
_cell_length_b 5.570
_cell_length_c 6.081
_cell_angle_alpha 90.00
_cell_angle_beta 90.00
_cell_angle_gamma 90.00
loop_
_atom_site_label
_atom_site_fract_x
_atom_site_fract_y
_atom_site_fract_z
_atom_site_occupancy
Tl1 0.000 0.000 0.000 1
Cd1 0.000 0.000 0.500 1
Hg1 0.000 0.500 0.500 1
I1 0.500 0.500 0.000 1
```

Magnetic moment ... 0.00 μB/f.u.
ΔE_f (raw) ... -0.096 eV/atom
Relative energy among the computed polymorphs ... 0 meV per atom

4.
Density functional theory data (GGA-PBE) for an optimized crystal structure of Sr3Ge3Pt2.

Geometry as CIF:
```
data_Sr3Ge3Pt2
_space_group_name_H-M_alt 'C m c m'
_space_group_IT_number 63
_space_group_name_Hall '-C 2c 2'
_cell_length_a 4.482
_cell_length_b 11.470
_cell_length_c 15.342
_cell_angle_alpha 90.00
_cell_angle_beta 90.00
_cell_angle_gamma 90.00
loop_
_atom_site_label
_atom_site_fract_x
_atom_site_fract_y
_atom_site_fract_z
_atom_site_occupancy
Sr1 0.000 0.075 0.109 1
Sr2 0.000 0.363 0.250 1
Ge1 0.000 0.332 0.750 1
Ge2 0.000 0.349 0.038 1
Pt1 0.000 0.214 0.602 1
```

Calculated formation energy ... -763 meV/atom
Magnetic moment ... 0.00 μB/f.u.

5.
Density functional theory data (GGA-PBE) for an optimized crystal structure of Tb2ScRh2.

Geometry as CIF:
```
data_Tb2ScRh2
_space_group_name_H-M_alt 'C 1 2/m 1'
_space_group_IT_number 12
_cell_length_a 11.814
_cell_length_b 4.037
_cell_length_c 10.642
_cell_angle_alpha 90.00
_cell_angle_beta 118.93
_cell_angle_gamma 90.00
loop_
_space_group_symop_operation_xyz
'x,y,z'
'-x,-y,-z'
'-x,y,-z'
'x,-y,z'
'x+1/2,y+1/2,z'
'-x+1/2,-y+1/2,-z'
'-x+1/2,y+1/2,-z'
'x+1/2,-y+1/2,z'
loop_
_atom_site_label
_atom_site_fract_x
_atom_site_fract_y
_atom_site_fract_z
_atom_site_occupancy
Tb1 0.031 0.000 0.192 1
Tb2 0.170 0.000 0.595 1
Sc1 0.208 0.500 0.871 1
Rh1 0.021 0.500 0.380 1
Rh2 0.136 0.500 0.080 1
```

Calculated formation energy ... -752 meV/atom
Magnetic moment ... 0.00 μB/f.u.

6.
Density functional theory data (GGA-PBE) for an optimized crystal structure of HfV5Ge6.

Geometry as CIF:
```
data_HfV5Ge6
_space_group_name_H-M_alt 'C 1 2/m 1'
_space_group_IT_number 12
_cell_length_a 4.885
_cell_length_b 12.160
_cell_length_c 6.425
_cell_angle_alpha 90.00
_cell_angle_beta 103.27
_cell_angle_gamma 90.00
loop_
_space_group_symop_operation_xyz
'x,y,z'
'-x,-y,-z'
'-x,y,-z'
'x,-y,z'
'x+1/2,y+1/2,z'
'-x+1/2,-y+1/2,-z'
'-x+1/2,y+1/2,-z'
'x+1/2,-y+1/2,z'
loop_
_atom_site_label
_atom_site_fract_x
_atom_site_fract_y
_atom_site_fract_z
_atom_site_occupancy
Hf1 0.000 0.000 0.000 1
V1 0.000 0.000 0.500 1
V2 0.000 0.313 0.000 1
V3 0.000 0.372 0.500 1
Ge1 0.020 0.179 0.711 1
Ge2 0.050 0.500 0.208 1
```

Calculated formation energy ... -79 meV/atom
Magnetic moment ... 1.01 μB/f.u.